Compound: ZrInHRu2
Source: the Alexandria database
Functional: PBE
Structure: relaxed

Total energy in eV per formula unit: -34.28

Cell lengths 4.250, 4.250, 3.920 Å; angles 90.00, 90.00, 90.00 degrees
Sites, in units of the cell vectors:
Ru: 0.000 0.500 0.000
Ru: 0.500 0.000 0.000
H: 0.000 0.000 0.000
Zr: 0.000 0.000 0.500
In: 0.500 0.500 0.500

***

Compound: Ba3BeH
Source: the Alexandria database
Functional: PBE
Structure: relaxed

Offset from the most stable computed form in meV per atom: 0.0

Cell lengths 5.553, 5.553, 5.553 Å; angles 90.00, 90.00, 90.00 degrees
Sites, in units of the cell vectors:
Be: 0.500 0.500 0.500
Ba: 0.000 0.500 0.000
Ba: 0.000 0.000 0.500
Ba: 0.500 0.000 0.000
H: 0.000 0.000 0.000

***

Compound: TlInNi3
Source: the Alexandria database
Functional: PBE
Structure: relaxed

Offset from the most stable computed form in meV per atom: 0.0
Formation enthalpy at 0 K in eV per formula unit: 4.89

Cell lengths 4.707, 4.707, 4.707 Å; angles 90.00, 90.00, 90.00 degrees
Sites, in units of the cell vectors:
Ni: 0.000 0.500 0.000
Ni: 0.000 0.000 0.500
Ni: 0.500 0.000 0.000
Tl: 0.500 0.500 0.500
In: 0.000 0.000 0.000

***

Compound: SrFeSe2
Source: the Alexandria database
Functional: PBE
Structure: relaxed

Raw formation energy in meV/atom: -702
Offset from the most stable computed form in meV per atom: 158.7

Cell lengths 7.335, 7.335, 7.335 Å; angles 151.17, 149.55, 42.43 degrees
Sites, in units of the cell vectors:
Fe: 0.799 0.299 0.500
Se: 0.935 0.935 0.000
Se: 0.223 0.723 0.500
Sr: 0.543 0.543 0.000

***

Compound: LiInSn
Source: the Alexandria database
Functional: PBE
Structure: relaxed

Formation enthalpy at 0 K in eV per formula unit: -0.56

Cell lengths 7.495, 3.249, 6.279 Å; angles 90.00, 66.09, 90.00 degrees
Sites, in units of the cell vectors:
Li: 0.000 0.000 0.500
Li: 0.000 0.000 0.000
Sn: 0.714 0.500 0.388
Sn: 0.286 0.500 0.612
In: 0.714 0.500 0.887
In: 0.286 0.500 0.113

***

Compound: AlIn2Br5
Source: the Alexandria database
Functional: PBE
Structure: relaxed

Raw formation energy in meV/atom: -915
Offset from the most stable computed form in meV per atom: 0.0

Cell lengths 9.893, 11.186, 13.984 Å; angles 72.70, 69.28, 63.76 degrees
Sites, in units of the cell vectors:
Al: 0.910 0.019 0.323
Al: 0.252 0.481 0.177
Al: 0.748 0.519 0.823
Al: 0.090 0.981 0.677
In: 0.461 0.057 0.680
In: 0.671 0.122 0.953
In: 0.746 0.378 0.547
In: 0.802 0.557 0.180
In: 0.198 0.443 0.820
In: 0.254 0.622 0.453
In: 0.329 0.878 0.047
In: 0.539 0.943 0.320
Br: 0.879 0.994 0.173
Br: 0.190 0.119 0.536
Br: 0.822 0.052 0.698
Br: 0.369 0.257 0.154
Br: 0.779 0.243 0.346
Br: 0.387 0.139 0.893
Br: 0.419 0.361 0.607
Br: 0.046 0.506 0.327
Br: 0.155 0.619 0.036
Br: 0.572 0.448 0.802
Br: 0.428 0.552 0.198
Br: 0.845 0.381 0.964
Br: 0.954 0.494 0.673
Br: 0.581 0.639 0.393
Br: 0.613 0.861 0.107
Br: 0.221 0.757 0.654
Br: 0.631 0.743 0.846
Br: 0.178 0.948 0.302
Br: 0.810 0.881 0.464
Br: 0.121 0.006 0.827

***

Compound: Cd2RuO4
Source: the Alexandria database
Functional: PBE
Structure: relaxed

Raw formation energy in meV/atom: -735

Cell lengths 3.783, 3.783, 6.932 Å; angles 74.17, 74.17, 90.00 degrees
Sites, in units of the cell vectors:
Ru: 0.000 0.000 0.000
O: 0.165 0.165 0.671
O: 0.835 0.835 0.329
O: 0.000 0.500 0.000
O: 0.500 0.000 0.000
Cd: 0.340 0.340 0.321
Cd: 0.660 0.660 0.679

***

Compound: LiMg
Source: the Alexandria database
Functional: PBE
Structure: relaxed

Formation enthalpy at 0 K in eV per formula unit: 0.19

Cell lengths 5.062, 5.062, 8.370 Å; angles 90.00, 90.00, 120.00 degrees
Sites, in units of the cell vectors:
Li: 0.333 0.667 0.090
Li: 0.667 0.333 0.590
Li: 0.667 0.333 0.910
Li: 0.333 0.667 0.410
Mg: 0.000 0.000 0.250
Mg: 0.000 0.000 0.750
Mg: 0.333 0.667 0.750
Mg: 0.667 0.333 0.250